(1)
Ti7Bi2H2S | PBE-GGA | relaxed

Cell: 4.1452 4.1452 11.1195 Å, 79.12 79.12 90.03°
Closest atoms and distances in Å follow each position.
Positions (direct):
Ti: 0.5000 0.5000 0.0000  2 H 1.92
Ti: 0.3161 0.3161 0.3611  1 H 1.95
Ti: 0.6839 0.6839 0.6389  1 H 1.95
Ti: 0.9165 0.4162 0.1647  2 H 2.08
Ti: 0.4162 0.9165 0.1647  2 H 2.08
Ti: 0.5838 0.0835 0.8353  2 H 2.08
Ti: 0.0835 0.5838 0.8353  2 H 2.08
Bi: 0.8137 0.8137 0.3663  9 Ti 2.92-2.99
Bi: 0.1863 0.1863 0.6337  9 Ti 2.92-2.99
H: 0.5909 0.5909 0.8210  6 Ti 1.92-2.08
H: 0.4091 0.4091 0.1790  6 Ti 1.92-2.08
S: 0.0000 0.0000 0.0000  12 Ti 2.72-2.93

- Space group: C2/m
- Total DFT energy (no corrections): -6.47 eV per atom
- Calculated volume: 184.1 Å³/cell
- Fermi-level density of states: 9.9 states/eV/cell

(2)
TbAl5 | PBE-GGA | relaxed

Cell: 4.3749 5.7180 5.7180 Å, 64.36 67.51 67.51°
Closest atoms and distances in Å follow each position.
Positions (direct):
Tb: 0.5000 0.0000 0.0000  14 Al 3.05-3.23
Al: 0.8369 0.8946 0.4317  6 Al 2.66-2.96
Al: 0.5000 0.5000 0.5000  8 Al 2.96, 2 Tb 3.05
Al: 0.1631 0.1054 0.5683  6 Al 2.66-2.96
Al: 0.1631 0.5683 0.1054  6 Al 2.66-2.96
Al: 0.8369 0.4317 0.8946  6 Al 2.66-2.96

- Space group: Immm
- Calculated volume: 115.0 Å³/cell
- Formation enthalpy at 0 K: -0.227 eV/atom
- Fermi-level density of states: 1.6 states/eV/cell

(3)
LiYSb2 | PBE-GGA | relaxed

Cell: 5.4746 5.4746 3.3916 Å, 89.95 89.95 97.27°
Closest atoms and distances in Å follow each position.
Positions (direct):
Li: 0.0000 0.5000 0.5000  8 Sb 3.22, 2 Li 3.39
Sb: 0.0000 0.0000 0.0000  4 Li 3.22, 4 Y 3.22, 2 Sb 3.39
Sb: 0.5000 0.5000 0.0000  4 Y 3.22, 4 Li 3.22, 2 Sb 3.39
Y: 0.5000 0.0000 0.5000  8 Sb 3.22, 2 Y 3.39

- Raw formation energy: -0.615 eV per atom
- Space group: Cmmm
- Calculated volume: 100.8 Å³/cell
- Offset from the most stable computed form: 184 meV per atom
- Fermi-level density of states: 2.1 states/eV/cell